Record 1
Below is a crystal of SiPPt2 relaxed with PBEsol, with properties calculated at the SCAN level.

a b c (Å): 4.128 4.128 8.018
angles (deg): 104.92 104.92 90.00
Fractional positions:
Pt  0.625  0.636  0.750
Pt  0.886  0.375  0.250
Pt  0.364  0.875  0.250
Pt  0.125  0.114  0.750
Si  0.750  0.250  0.500
Si  0.500  0.500  0.000
P  0.000  0.000  0.000
P  0.250  0.750  0.500

Computed properties:
E_form (uncorrected) in eV per atom: -0.48
Symmetry: I-42d, No. 122


Record 2
Below is a crystal of Si2PPt relaxed with PBEsol, with properties calculated at the SCAN level.

a b c (Å): 3.304 3.304 6.551
angles (deg): 75.39 75.39 60.00
Fractional positions:
Pt  0.000  0.000  0.000
P  0.500  0.500  0.500
Si  0.247  0.247  0.258
Si  0.753  0.753  0.742

Computed properties:
E_form (uncorrected) in eV per atom: -0.21
Symmetry: R-3m, No. 166


Record 3
Below is a crystal of SnP3Pt relaxed with PBEsol, with properties calculated at the SCAN level.

a b c (Å): 4.831 4.831 4.831
angles (deg): 90.00 90.00 90.00
Fractional positions:
P  0.500  0.000  0.000
P  0.000  0.500  0.000
P  0.000  0.000  0.500
Pt  0.500  0.500  0.500
Sn  0.000  0.000  0.000

Computed properties:
Formation enthalpy at 0 K in eV per atom: 1.782
Symmetry: Pm-3m, No. 221


Record 4
Below is a crystal of SnPPt5 relaxed with PBEsol, with properties calculated at the SCAN level.

a b c (Å): 3.937 3.937 7.049
angles (deg): 90.00 90.00 90.00
Fractional positions:
P  0.000  0.000  0.500
Pt  0.000  0.000  0.000
Pt  0.000  0.500  0.299
Pt  0.000  0.500  0.701
Pt  0.500  0.000  0.299
Pt  0.500  0.000  0.701
Sn  0.500  0.500  0.000

Computed properties:
Formation enthalpy at 0 K in eV per atom: -0.391
Symmetry: P4/mmm, No. 123


Record 5
Below is a crystal of Sn3PPt relaxed with PBEsol, with properties calculated at the SCAN level.

a b c (Å): 5.101 5.101 5.101
angles (deg): 90.00 90.00 90.00
Fractional positions:
P  0.500  0.500  0.500
Sn  0.000  0.500  0.000
Sn  0.000  0.000  0.500
Sn  0.500  0.000  0.000
Pt  0.000  0.000  0.000

Computed properties:
Formation enthalpy at 0 K in eV per atom: 0.327
Symmetry: Pm-3m, No. 221


Record 6
Below is a crystal of SnP2Pt relaxed with PBEsol, with properties calculated at the SCAN level.

a b c (Å): 5.579 5.579 6.879
angles (deg): 113.92 113.92 90.00
Fractional positions:
Pt  0.000  0.000  0.000
Pt  0.250  0.750  0.500
P  0.918  0.375  0.250
P  0.625  0.668  0.750
P  0.125  0.082  0.750
P  0.332  0.875  0.250
Sn  0.750  0.250  0.500
Sn  0.500  0.500  0.000

Computed properties:
Formation enthalpy at 0 K in eV per atom: -0.220
Symmetry: I-42d, No. 122


Record 7
Below is a crystal of SrP2Pt relaxed with PBEsol, with properties calculated at the SCAN level.

a b c (Å): 3.855 6.197 7.114
angles (deg): 90.00 90.00 108.12
Fractional positions:
Pt  0.401  0.801  0.250
Pt  0.599  0.199  0.750
P  0.912  0.824  0.054
P  0.088  0.176  0.946
P  0.912  0.824  0.446
P  0.088  0.176  0.554
Sr  0.333  0.666  0.750
Sr  0.667  0.334  0.250

Computed properties:
Formation enthalpy at 0 K in eV per atom: -1.062
Symmetry: Cmcm, No. 63


Record 8
Below is a crystal of SrPPt2 relaxed with PBEsol, with properties calculated at the SCAN level.

a b c (Å): 4.132 4.132 4.205
angles (deg): 90.00 90.00 90.00
Fractional positions:
Sr  0.500  0.500  0.500
Pt  0.000  0.500  0.000
Pt  0.500  0.000  0.000
P  0.000  0.000  0.500

Computed properties:
Formation enthalpy at 0 K in eV per atom: -0.187
Symmetry: P4/mmm, No. 123


Record 9
Below is a crystal of SrPPt2 relaxed with PBEsol, with properties calculated at the SCAN level.

a b c (Å): 4.695 4.695 4.695
angles (deg): 60.00 60.00 60.00
Fractional positions:
P  0.500  0.500  0.500
Pt  0.750  0.750  0.750
Pt  0.000  0.000  0.000
Sr  0.250  0.250  0.250

Computed properties:
Formation enthalpy at 0 K in eV per atom: -0.006
Symmetry: F-43m, No. 216


Record 10
Below is a crystal of SrP2Pt relaxed with PBEsol, with properties calculated at the SCAN level.

a b c (Å): 4.200 4.649 4.443
angles (deg): 94.98 90.00 90.00
Fractional positions:
P  0.500  0.805  0.271
P  0.000  0.787  0.962
Sr  0.500  0.258  0.809
Pt  0.000  0.649  0.459

Computed properties:
Formation enthalpy at 0 K in eV per atom: -0.804
Symmetry: Pm, No. 6


Record 11
Below is a crystal of SrP2Pt relaxed with PBEsol, with properties calculated at the SCAN level.

a b c (Å): 3.894 4.489 4.860
angles (deg): 96.53 90.00 90.00
Fractional positions:
Pt  0.500  0.000  0.500
P  0.000  0.734  0.611
P  0.000  0.266  0.389
Sr  0.500  0.500  0.000

Computed properties:
Formation enthalpy at 0 K in eV per atom: -1.063
Symmetry: P2/m, No. 10


Record 12
Below is a crystal of SrPPt2 relaxed with PBEsol, with properties calculated at the SCAN level.

a b c (Å): 5.099 5.099 8.385
angles (deg): 107.70 107.70 90.00
Fractional positions:
P  0.750  0.250  0.500
P  0.500  0.500  0.000
Pt  0.598  0.875  0.250
Pt  0.625  0.402  0.750
Pt  0.652  0.375  0.250
Pt  0.125  0.348  0.750
Sr  0.250  0.750  0.500
Sr  0.000  0.000  0.000

Computed properties:
Formation enthalpy at 0 K in eV per atom: -1.012
Symmetry: I-42d, No. 122


Record 13
Below is a crystal of SrP2Pt relaxed with PBEsol, with properties calculated at the SCAN level.

a b c (Å): 4.018 4.609 5.436
angles (deg): 101.06 111.69 90.00
Fractional positions:
Sr  0.223  0.742  0.446
P  0.017  0.161  0.035
P  0.808  0.260  0.617
Pt  0.451  0.337  0.902

Computed properties:
Formation enthalpy at 0 K in eV per atom: -0.739
Symmetry: Cm, No. 8


Record 14
Below is a crystal of SrPPt2 relaxed with PBEsol, with properties calculated at the SCAN level.

a b c (Å): 3.720 4.892 5.280
angles (deg): 107.42 90.00 112.35
Fractional positions:
P  0.297  0.594  0.907
Pt  0.989  0.978  0.011
Pt  0.710  0.419  0.081
Sr  0.504  0.009  0.501

Computed properties:
Formation enthalpy at 0 K in eV per atom: -0.882
Symmetry: Cm, No. 8


Record 15
Below is a crystal of SrPPt2 relaxed with PBEsol, with properties calculated at the SCAN level.

a b c (Å): 4.032 4.032 5.116
angles (deg): 90.00 90.00 90.00
Fractional positions:
Pt  0.500  0.000  0.061
Pt  0.000  0.500  0.061
Sr  0.000  0.000  0.537
P  0.500  0.500  0.842

Computed properties:
Formation enthalpy at 0 K in eV per atom: -0.906
Symmetry: P4mm, No. 99


Record 16
Below is a crystal of SrP2Pt relaxed with PBEsol, with properties calculated at the SCAN level.

a b c (Å): 4.047 4.020 6.525
angles (deg): 90.00 90.00 120.22
Fractional positions:
P  0.000  0.000  0.319
P  0.000  0.000  0.681
Pt  0.500  0.000  0.500
Sr  0.500  0.000  0.000

Computed properties:
Formation enthalpy at 0 K in eV per atom: -0.458
Symmetry: Cmmm, No. 65


Record 17
Below is a crystal of TaPPt relaxed with PBEsol, with properties calculated at the SCAN level.

a b c (Å): 4.239 4.239 4.239
angles (deg): 60.00 60.00 60.00
Fractional positions:
P  0.000  0.000  0.000
Pt  0.500  0.500  0.500
Ta  0.250  0.250  0.250

Computed properties:
Formation enthalpy at 0 K in eV per atom: -0.294
Symmetry: F-43m, No. 216


Record 18
Below is a crystal of TaPPt2 relaxed with PBEsol, with properties calculated at the SCAN level.

a b c (Å): 3.383 3.969 4.962
angles (deg): 93.54 109.93 90.00
Fractional positions:
Pt  0.277  0.259  0.554
Pt  0.723  0.741  0.446
Ta  0.000  0.500  0.000
P  0.500  0.000  0.000

Computed properties:
Formation enthalpy at 0 K in eV per atom: -0.443
Symmetry: C2/m, No. 12


Record 19
Below is a crystal of Ta2PPt relaxed with PBEsol, with properties calculated at the SCAN level.

a b c (Å): 3.103 4.399 5.248
angles (deg): 114.77 107.19 90.00
Fractional positions:
P  0.506  0.506  0.012
Ta  0.992  0.992  0.984
Ta  0.784  0.284  0.567
Pt  0.218  0.718  0.436

Computed properties:
Formation enthalpy at 0 K in eV per atom: -0.504
Symmetry: Imm2, No. 44


Record 20
Below is a crystal of TaPPt2 relaxed with PBEsol, with properties calculated at the SCAN level.

a b c (Å): 3.139 4.418 4.887
angles (deg): 90.35 108.74 90.00
Fractional positions:
Pt  0.762  0.718  0.524
Pt  0.039  0.973  0.078
Ta  0.476  0.487  0.952
P  0.223  0.322  0.446

Computed properties:
Formation enthalpy at 0 K in eV per atom: -0.475
Symmetry: Cm, No. 8